Below is an optimized crystal structure of BaLa2In2, with properties calculated at the PBE-GGA level.

Values from the calculation:
The space group is P4/mbm. The relative energy among the computed polymorphs is 0.000 eV/atom.

Cell lengths 9.6844, 9.6844, 3.6588 Å; angles 90.00, 90.00, 90.00 degrees
Last column: nearest neighbours and their distance in Å.
Sites, in units of the cell vectors:
1 In 0.1778 0.6778 0.5000  6 La 3.36-3.44, 2 In 3.66
2 La 0.6162 0.1162 0.0000  1 La 3.18, 6 In 3.36-3.44
3 Ba 0.5000 0.5000 0.0000  2 Ba 3.66, 4 La 3.88, 8 In 4.01
4 Ba 0.0000 0.0000 0.0000  2 Ba 3.66, 4 La 3.88, 8 In 4.01
5 In 0.6778 0.8222 0.5000  6 La 3.36-3.44, 2 In 3.66
6 La 0.3838 0.8838 0.0000  1 La 3.18, 6 In 3.36-3.44
7 La 0.1162 0.3838 0.0000  1 La 3.18, 6 In 3.36-3.44
8 La 0.8838 0.6162 0.0000  1 La 3.18, 6 In 3.36-3.44
9 In 0.3222 0.1778 0.5000  6 La 3.36-3.44, 2 In 3.66
10 In 0.8222 0.3222 0.5000  6 La 3.36-3.44, 2 In 3.66

---

Below is an optimized crystal structure of BaLa2In, with properties calculated at the PBE-GGA level.

Values from the calculation:
The space group is P2/m.

Cell lengths 5.8879, 3.8570, 6.5233 Å; angles 81.92, 90.00, 90.00 degrees
Last column: nearest neighbours and their distance in Å.
Sites, in units of the cell vectors:
1 La 0.0000 0.9719 0.9571  2 La 3.21-3.40, 2 In 3.40
2 In 0.5000 0.7500 0.7500  4 La 3.40, 2 Ba 3.55
3 Ba 0.5000 0.2500 0.2500  2 In 3.55, 4 La 3.75, 2 Ba 3.86
4 La 0.0000 0.5281 0.5429  2 La 3.21-3.40, 2 In 3.40

---

Below is an optimized crystal structure of BaLaIn2, with properties calculated at the PBE-GGA level.

Values from the calculation:
The space group is I-42d.

Cell lengths 9.2142, 9.2142, 7.4149 Å; angles 51.59, 51.59, 90.00 degrees
Last column: nearest neighbours and their distance in Å.
Sites, in units of the cell vectors:
1 Ba 0.5000 0.5000 0.0000  4 In 3.53, 2 La 3.54
2 La 0.7500 0.2500 0.5000  4 In 3.23, 2 Ba 3.54
3 In 0.1010 0.6250 0.2500  2 La 3.23, 2 Ba 3.53, 2 In 3.57
4 Ba 0.2500 0.7500 0.5000  4 In 3.53, 2 La 3.54
5 In 0.3750 0.3510 0.7500  2 La 3.23, 2 Ba 3.53, 2 In 3.57
6 In 0.8750 0.8990 0.7500  2 La 3.23, 2 Ba 3.53, 2 In 3.57
7 In 0.6490 0.1250 0.2500  2 La 3.23, 2 Ba 3.53, 2 In 3.57
8 La 0.0000 0.0000 0.0000  4 In 3.23, 2 Ba 3.54

---

no.,DFT formation energy (eV per atom),DFT total energy (eV/atom)
1,-0.366,-3.816
2,-0.113,-3.742
3,-0.045,-3.126